Here is a relaxed structure of TcSn2HgPb from the Alexandria database. Energies are from PBE.

abc: 5.204 5.204 5.358
angles: 90.00 90.00 90.00
Atoms (fractional coordinates):
Tc1 0.000 0.000 0.000
Sn1 0.000 0.500 0.000
Sn2 0.500 0.000 0.000
Hg1 0.500 0.500 0.500
Pb1 0.000 0.000 0.500

Values from the calculation:
**Calculated formation energy**: 0.185 eV per atom
**Magnetization**: 0.002 μB per formula unit
**Space group**: No. 123
**Total DFT energy (no corrections)**: -21.5 eV/f.u.

Here is a relaxed structure of SnHgTe4Pb2 from the Alexandria database. Energies are from PBE.

abc: 7.835 4.538 7.888
angles: 90.00 109.93 90.00
Atoms (fractional coordinates):
Sn1 0.000 0.000 0.000
Hg1 0.500 0.500 0.000
Te1 0.247 0.500 0.241
Te2 0.259 0.000 0.764
Te3 0.741 0.000 0.236
Te4 0.753 0.500 0.759
Pb1 0.000 0.500 0.500
Pb2 0.500 0.000 0.500

Values from the calculation:
**Magnetization**: 0.000 μB per formula unit
**Space group**: No. 10
**Total DFT energy (no corrections)**: -26.3 eV/f.u.
**ΔE_f (raw)**: -0.257 eV per atom

Here is a relaxed structure of Sn2HgTe6Pb3 from the Alexandria database. Energies are from PBE.

abc: 10.242 10.242 9.030
angles: 102.82 102.82 25.67
Atoms (fractional coordinates):
Sn1 0.166 0.166 0.331
Sn2 0.834 0.834 0.669
Hg1 0.500 0.500 0.000
Te1 0.003 0.003 0.239
Te2 0.332 0.332 0.422
Te3 0.333 0.333 0.912
Te4 0.667 0.667 0.088
Te5 0.668 0.668 0.578
Te6 0.997 0.997 0.761
Pb1 0.167 0.167 0.833
Pb2 0.500 0.500 0.500
Pb3 0.833 0.833 0.167

Values from the calculation:
**Magnetization**: 0.000 μB per formula unit
**Space group**: No. 12
**Total DFT energy (no corrections)**: -41.7 eV/f.u.
**ΔE_f (raw)**: -0.285 eV per atom

Here is a relaxed structure of SnHgTePb from the Alexandria database. Energies are from PBE.

abc: 5.471 5.471 5.471
angles: 60.00 60.00 60.00
Atoms (fractional coordinates):
Sn1 0.000 0.000 0.000
Hg1 0.750 0.750 0.750
Te1 0.250 0.250 0.250
Pb1 0.500 0.500 0.500

Values from the calculation:
**Magnetization**: 0.000 μB per formula unit
**Space group**: No. 216
**Total DFT energy (no corrections)**: -11.1 eV/f.u.
**ΔE_f (raw)**: 0.011 eV per atom

Here is a relaxed structure of ThSnHgPb from the Alexandria database. Energies are from PBE.

abc: 5.444 5.444 5.444
angles: 60.00 60.00 60.00
Atoms (fractional coordinates):
Th1 0.000 0.000 0.000
Sn1 0.750 0.750 0.750
Hg1 0.250 0.250 0.250
Pb1 0.500 0.500 0.500

Values from the calculation:
**Energy above the most stable polymorph in this dataset**: 0.2002 eV/atom
**Calculated formation energy**: -0.126 eV per atom
**Magnetization**: 0.000 μB per formula unit
**Space group**: No. 216
**Total DFT energy (no corrections)**: -15.9 eV/f.u.

Here is a relaxed structure of ThSnHgPb from the Alexandria database. Energies are from PBE.

abc: 4.692 4.732 4.921
angles: 90.00 90.00 90.00
Atoms (fractional coordinates):
Th1 0.000 0.000 0.000
Sn1 0.500 0.500 0.000
Hg1 0.500 0.000 0.500
Pb1 0.000 0.500 0.500

Values from the calculation:
**Energy above the most stable polymorph in this dataset**: 0.0000 eV/atom
**Calculated formation energy**: -0.326 eV per atom
**Magnetization**: 0.000 μB per formula unit
**Space group**: No. 47
**Total DFT energy (no corrections)**: -16.7 eV/f.u.

Here is a relaxed structure of Tl2SnHgPb4 from the Alexandria database. Energies are from PBE.

abc: 7.951 4.293 7.990
angles: 90.00 107.32 90.00
Atoms (fractional coordinates):
Tl1 0.000 0.000 0.000
Tl2 0.500 0.500 0.000
Sn1 0.000 0.500 0.500
Hg1 0.500 0.000 0.500
Pb1 0.241 0.000 0.724
Pb2 0.261 0.500 0.279
Pb3 0.739 0.500 0.721
Pb4 0.759 0.000 0.276

Values from the calculation:
**Calculated formation energy**: 0.145 eV per atom
**Magnetization**: 0.000 μB per formula unit
**Space group**: No. 10
**Total DFT energy (no corrections)**: -22.7 eV/f.u.

Here is a relaxed structure of TlSn2Hg3Pb3 from the Alexandria database. Energies are from PBE.

abc: 9.571 9.571 3.269
angles: 90.00 90.00 120.00
Atoms (fractional coordinates):
Tl1 0.000 0.000 0.000
Sn1 0.333 0.667 0.500
Sn2 0.667 0.333 0.500
Hg1 0.000 0.346 0.000
Hg2 0.346 0.000 0.000
Hg3 0.654 0.654 0.000
Pb1 0.000 0.671 0.500
Pb2 0.329 0.329 0.500
Pb3 0.671 0.000 0.500

Values from the calculation:
**Calculated formation energy**: 0.061 eV per atom
**Magnetization**: 0.000 μB per formula unit
**Space group**: No. 189
**Total DFT energy (no corrections)**: -21.9 eV/f.u.

The highest total DFT energy (no corrections) belongs to which entry?
SnHgTePb

Among the records above, which one has the highest magnetization?
TcSn2HgPb

Among the records above, which one has the lowest total DFT energy (no corrections)?
Sn2HgTe6Pb3